# HoMgZn2Ag5 PBE optimized geometry
# Total energy = -2.59 eV/atom
data_HoMgZn2Ag5
_chemical_formula_sum 'Ho1 Mg1 Zn2 Ag5'
_space_group_name_H-M_alt 'P 4/m m m'
_space_group_IT_number 123
_space_group_name_Hall '-P 4 2'
_cell_length_a 4.8088
_cell_length_b 4.8088
_cell_length_c 7.7969
_cell_angle_alpha 90.00
_cell_angle_beta 90.00
_cell_angle_gamma 90.00
loop_
_atom_site_label
_atom_site_type_symbol
_atom_site_fract_x
_atom_site_fract_y
_atom_site_fract_z
_atom_site_occupancy
Ho1 Ho 0.0000 0.0000 0.0000 1
Mg1 Mg 0.0000 0.0000 0.5000 1
Zn1 Zn 0.5000 0.5000 0.3477 1
Ag1 Ag 0.0000 0.5000 0.2376 1
Ag2 Ag 0.5000 0.5000 0.0000 1

# NaPmPrHg PBE optimized geometry
# Total energy = -2.87 eV/atom
data_NaPmPrHg
_chemical_formula_sum 'Na4 Pm4 Pr4 Hg4'
_space_group_name_H-M_alt 'F -4 3 m'
_space_group_IT_number 216
_space_group_name_Hall 'F -4 2 3'
_cell_length_a 7.7921
_cell_length_b 7.7921
_cell_length_c 7.7921
_cell_angle_alpha 90.00
_cell_angle_beta 90.00
_cell_angle_gamma 90.00
loop_
_atom_site_label
_atom_site_type_symbol
_atom_site_fract_x
_atom_site_fract_y
_atom_site_fract_z
_atom_site_occupancy
Na1 Na 0.0000 0.0000 0.0000 1
Pm1 Pm 0.2500 0.2500 0.7500 1
Pr1 Pr 0.2500 0.2500 0.2500 1
Hg1 Hg 0.0000 0.0000 0.5000 1

# Cs2RbTlAu PBE optimized geometry
# E above lowest polymorph = 0.041 eV per atom
data_Cs2RbTlAu
_chemical_formula_sum 'Cs2 Rb1 Tl1 Au1'
_space_group_name_H-M_alt 'P 4/m m m'
_space_group_IT_number 123
_space_group_name_Hall '-P 4 2'
_cell_length_a 6.8895
_cell_length_b 6.8895
_cell_length_c 6.6707
_cell_angle_alpha 90.00
_cell_angle_beta 90.00
_cell_angle_gamma 90.00
loop_
_atom_site_label
_atom_site_type_symbol
_atom_site_fract_x
_atom_site_fract_y
_atom_site_fract_z
_atom_site_occupancy
Cs1 Cs 0.0000 0.5000 0.0000 1
Rb1 Rb 0.0000 0.0000 0.5000 1
Tl1 Tl 0.5000 0.5000 0.5000 1
Au1 Au 0.0000 0.0000 0.0000 1

Number 1: M_tot 0.000 μB per atom. Number 2: M_tot 0.222 μB per atom. Number 3: M_tot 0.000 μB per atom.